Record 1
# Gd2AgPd (GGA-PBE, relaxed)
data_Gd2AgPd
_chemical_formula_sum 'Gd4 Ag2 Pd2'
_space_group_name_H-M_alt 'P 1'
_space_group_IT_number 1
_cell_length_a 4.649
_cell_length_b 3.798
_cell_length_c 10.832
_cell_angle_alpha 90.00
_cell_angle_beta 90.00
_cell_angle_gamma 90.00
loop_
_space_group_symop_operation_xyz
'x,y,z'
loop_
_atom_site_label
_atom_site_fract_x
_atom_site_fract_y
_atom_site_fract_z
_atom_site_occupancy
Gd1 0.000 0.000 0.000 1
Gd2 0.000 0.500 0.500 1
Gd3 0.500 0.000 0.280 1
Gd4 0.500 0.500 0.780 1
Ag1 0.000 0.000 0.721 1
Ag2 0.000 0.500 0.221 1
Pd1 0.500 0.000 0.555 1
Pd2 0.500 0.500 0.055 1
# symmetry = Amm2, No. 38
# energy relative to the elements = -589 meV/atom

Record 2
# TbGd2Tl3AgPd2 (GGA-PBE, relaxed)
data_TbGd2Tl3AgPd2
_chemical_formula_sum 'Tb1 Gd2 Tl3 Ag1 Pd2'
_space_group_name_H-M_alt 'P 1'
_space_group_IT_number 1
_cell_length_a 3.804
_cell_length_b 7.946
_cell_length_c 7.946
_cell_angle_alpha 119.97
_cell_angle_beta 90.00
_cell_angle_gamma 90.00
loop_
_space_group_symop_operation_xyz
'x,y,z'
loop_
_atom_site_label
_atom_site_fract_x
_atom_site_fract_y
_atom_site_fract_z
_atom_site_occupancy
Tb1 0.000 0.000 0.000 1
Gd1 0.000 0.186 0.593 1
Gd2 0.000 0.593 0.186 1
Tl1 0.500 0.320 0.320 1
Tl2 0.500 0.593 0.866 1
Tl3 0.500 0.866 0.593 1
Ag1 0.000 0.593 0.593 1
Pd1 0.500 0.259 0.926 1
Pd2 0.500 0.926 0.259 1
# symmetry = Amm2, No. 38
# E = -4.36 eV per atom

Record 3
# Gd2TmTl3AgPd2 (GGA-PBE, relaxed)
data_Gd2TmTl3AgPd2
_chemical_formula_sum 'Gd2 Tm1 Tl3 Ag1 Pd2'
_space_group_name_H-M_alt 'P 1'
_space_group_IT_number 1
_cell_length_a 3.774
_cell_length_b 7.951
_cell_length_c 7.951
_cell_angle_alpha 119.81
_cell_angle_beta 90.00
_cell_angle_gamma 90.00
loop_
_space_group_symop_operation_xyz
'x,y,z'
loop_
_atom_site_label
_atom_site_fract_x
_atom_site_fract_y
_atom_site_fract_z
_atom_site_occupancy
Gd1 0.000 0.203 0.797 1
Gd2 0.000 0.797 0.203 1
Tm1 0.000 0.609 0.609 1
Tl1 0.500 0.203 0.476 1
Tl2 0.500 0.476 0.203 1
Tl3 0.500 0.929 0.929 1
Ag1 0.000 0.205 0.205 1
Pd1 0.500 0.537 0.865 1
Pd2 0.500 0.865 0.537 1
# symmetry = Amm2, No. 38
# E = -4.33 eV per atom

Record 4
# PmGdAg (GGA-PBE, relaxed)
data_PmGdAg
_chemical_formula_sum 'Pm3 Gd3 Ag3'
_space_group_name_H-M_alt 'P 1'
_space_group_IT_number 1
_cell_length_a 5.621
_cell_length_b 5.621
_cell_length_c 8.722
_cell_angle_alpha 90.00
_cell_angle_beta 90.00
_cell_angle_gamma 120.00
loop_
_space_group_symop_operation_xyz
'x,y,z'
loop_
_atom_site_label
_atom_site_fract_x
_atom_site_fract_y
_atom_site_fract_z
_atom_site_occupancy
Pm1 0.000 0.000 0.000 1
Pm2 0.333 0.667 0.667 1
Pm3 0.667 0.333 0.333 1
Gd1 0.000 0.000 0.366 1
Gd2 0.333 0.667 0.033 1
Gd3 0.667 0.333 0.700 1
Ag1 0.000 0.000 0.678 1
Ag2 0.333 0.667 0.345 1
Ag3 0.667 0.333 0.012 1
# symmetry = R3m, No. 160
# energy relative to the elements = 169 meV/atom

Number 1: M_tot 0.00 μB/f.u.. Number 2: M_tot 0.01 μB/f.u.. Number 3: M_tot 0.02 μB/f.u.. Number 4: M_tot 0.10 μB/f.u..